Record 1
Sr5Mg2H12: relaxed, PBE.

Calculated values
Total energy   -3.124 eV/atom
V   15.7 Å³/atom
SG   C2/m (12)
M_tot   0.1 μB/f.u.

a = 6.069 Å, b = 7.114 Å, c = 7.937 Å
α = 104.50°, β = 90.00°, γ = 115.25°
Element x y z (fractional)
H 0.087 0.680 0.412
H 0.593 0.680 0.412
H 0.877 0.312 0.078
H 0.913 0.320 0.588
H 0.565 0.688 0.922
H 0.123 0.688 0.922
H 0.435 0.312 0.078
H 0.999 0.998 0.170
H 0.001 0.002 0.830
H 0.407 0.320 0.588
H 0.494 0.988 0.167
H 0.506 0.012 0.833
Mg 0.241 0.000 0.000
Mg 0.759 0.000 0.000
Sr 0.300 0.601 0.158
Sr 0.700 0.399 0.842
Sr 0.318 0.637 0.647
Sr 0.000 0.000 0.500
Sr 0.682 0.363 0.353

=====

Record 2
Cs2AuBr4: relaxed, PBE.

Calculated values
Total energy   -2.750 eV/atom
V   39.5 Å³/atom
SG   I4/mmm (139)
M_tot   0.0 μB/f.u.

a = 5.607 Å, b = 5.607 Å, c = 9.644 Å
α = 73.10°, β = 73.10°, γ = 90.00°
Element x y z (fractional)
Cs 0.363 0.363 0.275
Cs 0.637 0.637 0.725
Br 0.000 0.500 0.000
Br 0.849 0.849 0.303
Br 0.151 0.151 0.697
Br 0.500 0.000 0.000
Au 0.000 0.000 0.000

=====

Record 3
CaPm2Ag2Ge2: relaxed, PBE.

Calculated values
V   24.7 Å³/atom
E_form   -42.6 kJ per mole of atoms
SG   R-3m (166)
M_tot   0.0 μB/f.u.

a = 4.602 Å, b = 4.602 Å, c = 9.803 Å
α = 76.43°, β = 76.43°, γ = 60.00°
Element x y z (fractional)
Pm 0.127 0.127 0.619
Pm 0.873 0.873 0.381
Ge 0.256 0.256 0.233
Ge 0.744 0.744 0.767
Ag 0.601 0.601 0.198
Ag 0.399 0.399 0.802
Ca 0.000 0.000 0.000

=====

Record 4
Tb5PrSm2Sc: relaxed, PBE.

Calculated values
V   32.4 Å³/atom
E_form   15.7 kJ per mole of atoms
SG   Cmc2_1 (36)
M_tot   0.0 μB/f.u.

a = 5.621 Å, b = 10.310 Å, c = 10.467 Å
α = 90.00°, β = 90.00°, γ = 105.82°
Element x y z (fractional)
Tb 0.723 0.447 0.823
Tb 0.703 0.407 0.204
Tb 0.518 0.036 0.240
Tb 0.626 0.252 0.519
Tb 0.277 0.553 0.323
Tb 0.374 0.748 0.019
Tb 0.297 0.593 0.704
Tb 0.982 0.964 0.519
Tb 0.018 0.036 0.019
Tb 0.482 0.964 0.740
Pr 0.413 0.826 0.457
Pr 0.587 0.174 0.957
Sm 0.115 0.229 0.734
Sm 0.885 0.771 0.234
Sm 0.112 0.225 0.315
Sm 0.888 0.775 0.815
Sc 0.196 0.393 0.014
Sc 0.804 0.607 0.514

=====

Record 5
Na3Pd2PtO6: relaxed, PBE.

Calculated values
Total energy   -5.026 eV/atom
V   12.2 Å³/atom
SG   C2/m (12)
M_tot   1.1 μB/f.u.

a = 5.530 Å, b = 5.530 Å, c = 5.787 Å
α = 103.10°, β = 103.10°, γ = 114.39°
Site moments in Bohr magnetons follow the coordinates.
Element x y z (fractional)
Pd 0.333 0.667 0.000  0.27
Pd 0.667 0.333 0.000  0.27
Pt 0.000 0.000 0.000  0.04
O 0.631 0.962 0.776  0.10
O 0.248 0.248 0.822  0.00
O 0.962 0.631 0.776  0.10
O 0.752 0.752 0.178  0.00
O 0.369 0.038 0.224  0.10
O 0.038 0.369 0.224  0.10
Na 0.500 0.500 0.500  0.00
Na 0.172 0.828 0.500  0.00
Na 0.828 0.172 0.500  0.00

=====

Record 6
La3Tb4Y2: relaxed, PBE.

Calculated values
V   33.5 Å³/atom
E_form   9.5 kJ per mole of atoms
SG   C2/c (15)
M_tot   0.0 μB/f.u.

a = 6.173 Å, b = 11.337 Å, c = 11.337 Å
α = 63.35°, β = 63.50°, γ = 63.50°
Element x y z (fractional)
Tb 0.582 0.407 0.148
Tb 0.923 0.180 0.931
Tb 0.423 0.931 0.180
Tb 0.418 0.593 0.852
Tb 0.918 0.852 0.593
Tb 0.577 0.069 0.820
Tb 0.077 0.820 0.069
Tb 0.082 0.148 0.407
Y 0.424 0.271 0.507
Y 0.576 0.729 0.493
Y 0.924 0.507 0.271
Y 0.076 0.493 0.729
La 0.250 0.640 0.360
La 0.248 0.289 0.045
La 0.748 0.045 0.289
La 0.252 0.955 0.711
La 0.750 0.360 0.640
La 0.752 0.711 0.955

=====

Record 7
MnZn2Pt: relaxed, PBE.

Calculated values
V   14.3 Å³/atom
E_form   -31.9 kJ per mole of atoms
SG   I4/mmm (139)
M_tot   3.7 μB/f.u.

a = 4.604 Å, b = 4.604 Å, c = 4.604 Å
α = 129.08°, β = 129.08°, γ = 74.88°
Site moments in Bohr magnetons follow the coordinates.
Element x y z (fractional)
Pt 0.750 0.250 0.500  0.09
Mn 0.250 0.750 0.500  3.52
Zn 0.500 0.500 0.000  -0.03
Zn 0.000 0.000 0.000  -0.03

=====

Record 8
ErThScTi: relaxed, PBE.

Calculated values
V   25.7 Å³/atom
E_form   14.1 kJ per mole of atoms
SG   F-43m (216)
M_tot   1.0 μB/f.u.

a = 5.257 Å, b = 5.257 Å, c = 5.257 Å
α = 60.00°, β = 60.00°, γ = 60.00°
Site moments in Bohr magnetons follow the coordinates.
Element x y z (fractional)
Sc 0.750 0.750 0.750  -0.12
Th 0.500 0.500 0.500  0.08
Ti 0.250 0.250 0.250  0.80
Er 0.000 0.000 0.000  0.05